[1]
! PBE Cd3Hg5Pb3, optimized geometry; values from VASP
&SYSTEM
  ibrav = 0, nat = 11, ntyp = 3
/
ATOMIC_SPECIES
Cd 112.41 Cd.upf
Hg 200.59 Hg.upf
Pb 207.20 Pb.upf
CELL_PARAMETERS angstrom
3.317 0.000 0.000
0.000 9.065 -5.234
0.000 0.000 10.467
ATOMIC_POSITIONS crystal
Cd 0.500 0.837 0.000
Cd 0.500 0.163 0.163
Cd 0.500 0.000 0.837
Hg 0.500 0.667 0.333
Hg 0.500 0.333 0.667
Hg 0.500 0.324 0.000
Hg 0.500 0.676 0.676
Hg 0.500 0.000 0.324
Pb 0.000 0.581 0.000
Pb 0.000 0.000 0.581
Pb 0.000 0.419 0.419
! space-group type	No. 189
! crystal system	hexagonal
! ΔE_f	1.815	kcal/mol of atoms

---

[2]
! PBE DyAl3NiAg, optimized geometry; values from VASP
&SYSTEM
  ibrav = 0, nat = 12, ntyp = 4
/
ATOMIC_SPECIES
Dy 162.50 Dy.upf
Al 26.98 Al.upf
Ni 58.69 Ni.upf
Ag 107.87 Ag.upf
CELL_PARAMETERS angstrom
5.850 0.000 0.000
0.000 5.992 0.000
0.000 -2.996 6.240
ATOMIC_POSITIONS crystal
Dy 0.750 0.281 0.561
Dy 0.250 0.719 0.439
Al 0.250 0.132 0.265
Al 0.000 0.281 0.000
Al 0.500 0.719 0.000
Al 0.500 0.281 0.000
Al 0.000 0.719 0.000
Al 0.750 0.868 0.735
Ni 0.250 0.928 0.855
Ni 0.750 0.072 0.145
Ag 0.250 0.344 0.689
Ag 0.750 0.656 0.311
! space-group type	No. 63
! crystal system	orthorhombic
! ΔE_f	-7.278	kcal/mol of atoms

---

[3]
! PBE PaF3, optimized geometry; values from VASP
&SYSTEM
  ibrav = 0, nat = 4, ntyp = 2
/
ATOMIC_SPECIES
Pa 231.04 Pa.upf
F 19.00 F.upf
CELL_PARAMETERS angstrom
-2.970 -1.992 -0.701
0.772 -2.151 2.841
-1.966 2.167 2.175
ATOMIC_POSITIONS crystal
Pa 0.500 0.000 0.583
F 0.000 0.000 0.083
F 0.000 0.500 0.583
F 0.500 0.500 0.083
! energy above the lowest structure with this stoichiometry	1.68	kcal/mol of atoms
! space-group type	No. 221
! crystal system	cubic
! formation energy from raw total energies	-311.7	kJ/mol of atoms

---

[4]
! PBE LiNiRh2, optimized geometry; values from VASP
&SYSTEM
  ibrav = 0, nat = 4, ntyp = 3
/
ATOMIC_SPECIES
Ni 58.69 Ni.upf
Rh 102.91 Rh.upf
Li 6.94 Li.upf
CELL_PARAMETERS angstrom
-1.904 -3.077 -2.024
-3.555 0.726 -2.005
-0.083 -0.015 -4.145
ATOMIC_POSITIONS crystal
Ni 0.500 0.500 0.500
Rh 0.250 0.250 0.250
Rh 0.750 0.750 0.750
Li 0.000 0.000 0.000
! energy above the lowest structure with this stoichiometry	1.79	kcal/mol of atoms
! space-group type	No. 225
! crystal system	cubic
! ΔE_f	0.346	kcal/mol of atoms